Computed, not measured: La2Nd2Dy2In after structural relaxation at the GGA-PBE level of DFT.

```
La2Nd2Dy2In
1.0
3.7567 0.0000 0.0000
-1.8783 6.1030 -1.3144
0.0000 -3.4086 11.1598
Nd Dy La In
2 2 2 1
Direct
0.5187 0.0374 0.7392
0.4813 0.9626 0.2608
0.7361 0.4722 0.6144
0.2639 0.5278 0.3856
0.6814 0.3628 0.0888
0.3186 0.6372 0.9112
0.0000 0.0000 0.5000
```

Properties
space-group type = No. 12
DOS at the Fermi energy = 9.75 states/eV/f.u.
energy of formation = -0.04 eV/atom